A plane-wave DFT calculation with PBE was carried out for a geometry-optimized CsAg4O2 structure. Values from VASP.

Cell and atoms, written as Quantum ESPRESSO input:
```
&SYSTEM
  ibrav = 0, nat = 7, ntyp = 3
/
ATOMIC_SPECIES
Cs 132.91 Cs.upf
Ag 107.87 Ag.upf
O 16.00 O.upf
ATOMIC_POSITIONS angstrom
Cs 0.000 0.000 0.000
Ag 0.000 0.000 3.781
Ag 0.000 0.000 10.947
Ag 0.000 0.000 14.070
Ag 0.000 0.000 21.235
O 0.000 0.000 6.206
O 0.000 0.000 18.811
CELL_PARAMETERS angstrom
2.195 1.267 8.339
-2.195 1.267 8.339
0.000 -2.535 8.339
```

Fermi-level density of states: 2.0 states/eV per cell
Symmetry: R-3m (166)
Mass density: 7.11 Mg/m³
Total magnetization: 0.00 μB/f.u.
Energy: -3.24 eV/atom